(1)
CuAg2AsSe4 (GGA-PBE, optimized geometry); symmetry = C2, No. 5; D(E_F) = 0.126 states/eV per atom; magnetic moment = 0.0 μB/cell; formation energy (no corrections) = -0.81 eV per formula unit
1.0
4.2534 -5.5778 0.0000
4.2534 5.5778 0.0000
-4.2500 0.0000 4.2525
Cu Ag As Se
1 2 1 4
Cartesian
0.0000 0.0000 0.0000
4.2534 -0.0126 0.0000
2.1283 -2.7945 2.1263
2.1283 2.7831 2.1263
1.9855 1.3528 0.1537
-0.1510 -1.3677 1.9807
2.2712 1.3528 4.0988
4.4077 -1.3677 2.2718

---

(2)
Ce3ErRu4 (GGA-PBE, optimized geometry); symmetry = R-3m, No. 166; calculated formation energy = -0.350 eV/atom; D(E_F) = 0.876 states/eV per atom; magnetic moment = 0.0 μB/cell
1.0
2.4644 1.4228 7.7129
-2.4644 1.4228 7.7129
0.0000 -2.8456 7.7129
Ce Er Ru
3 1 4
Cartesian
0.0000 0.0000 0.0000
0.0000 0.0000 5.7485
0.0000 0.0000 17.3901
0.0000 0.0000 11.5693
0.0000 0.0000 2.9004
0.0000 0.0000 8.5917
0.0000 0.0000 14.5469
0.0000 0.0000 20.2383

---

(3)
La3Pm4Nd5 (GGA-PBE, optimized geometry); symmetry = C2/m, No. 12; calculated formation energy = 0.198 eV/atom; energy above the lowest structure with this stoichiometry = 183 meV per atom; D(E_F) = 1.680 states/eV per atom; magnetic moment = 0.2 μB/cell
1.0
8.2771 -3.0574 0.0000
8.2771 3.0574 0.0000
-4.1903 0.0000 8.5303
La Pm Nd
3 4 5
Cartesian
0.0000 0.0000 0.0000
1.5966 0.0000 6.6711
10.7672 0.0000 1.8592
4.2911 0.0000 1.0948
4.5850 0.0000 4.7913
7.7788 0.0000 3.7391
8.0727 0.0000 7.4355
-1.6970 0.0000 5.9625
1.2112 0.0000 3.3627
8.2771 0.0000 0.0000
11.1526 0.0000 5.1677
14.0608 0.0000 2.5678

---

(4)
Cs3Tl2Cd2Bi4 (GGA-PBE, optimized geometry); symmetry = P-3m1, No. 164; calculated formation energy = -0.161 eV/atom; D(E_F) = 0.720 states/eV per atom; magnetic moment = 0.0 μB/cell
1.0
5.2464 0.0000 0.0000
-2.6232 4.5435 0.0000
0.0000 0.0000 20.9293
Cs Tl Cd Bi
3 2 2 4
Cartesian
0.0000 0.0000 0.0000
0.0000 0.0000 6.1000
0.0000 0.0000 14.8293
0.0000 3.0290 3.1300
2.6232 1.5145 17.7993
0.0000 3.0290 11.6548
2.6232 1.5145 9.2745
0.0000 3.0290 8.6127
0.0000 3.0290 17.9777
2.6232 1.5145 2.9516
2.6232 1.5145 12.3166

---

(5)
CeCo5B2 (GGA-PBE, optimized geometry); symmetry = Immm, No. 71; calculated formation energy = -0.277 eV/atom; D(E_F) = 1.177 states/eV per atom; magnetic moment = 1.4 μB/cell
1.0
-1.7198 3.0293 4.2832
1.7198 -3.0293 4.2832
1.7198 3.0293 -4.2832
Ce Co B
1 5 2
Cartesian
0.0000 0.0000 0.0000
1.7198 1.8556 -1.3294
1.7198 1.8556 1.3294
0.0000 3.0293 0.0000
0.0000 1.1737 2.9539
0.0000 1.1737 5.6126
1.7198 0.0000 2.3042
0.0000 3.0293 1.9791

---

(6)
CuRe2Os (GGA-PBE, optimized geometry); symmetry = Cmm2, No. 35; calculated formation energy = 0.427 eV/atom; energy above the lowest structure with this stoichiometry = 230 meV per atom; D(E_F) = 0.875 states/eV per atom; magnetic moment = 0.0 μB/cell
1.0
1.4232 -2.2624 0.0000
1.4232 2.2624 0.0000
0.0000 0.0000 9.0723
Cu Re Os
1 2 1
Cartesian
0.0000 0.0000 0.0000
0.0000 0.0000 4.5327
1.4232 0.0000 2.2525
1.4232 0.0000 6.8160